[1]
VASP calculation (SCAN) on a crystal of Sc2CdC relaxed with PBEsol.

a b c (Å): 6.410 6.410 6.410
angles (deg): 90.00 90.00 90.00
Space group Fm-3m (No. 225)
One atom of each set of equivalent atoms:
Sc: 0.250 0.250 0.250
Cd: 0.000 0.000 0.000
C: 0.000 0.000 0.500

Energy of formation: 504 meV per atom
Magnetic moment: 0.000 μB per atom

***

[2]
VASP calculation (SCAN) on a crystal of RePt3 relaxed with PBEsol.

a b c (Å): 2.7742 2.7742 8.9381
angles (deg): 90.00 90.00 120.00
Space group P-6m2 (No. 187)
One atom of each set of equivalent atoms:
Re: 0.0000 0.0000 0.0000
Pt: 0.0000 0.0000 0.5000
Pt: 0.3333 0.6667 0.2393

Energy of formation: -43 meV per atom
Magnetic moment: 0.000 μB per atom